This record from Alexandria describes a relaxed LaSm2Ho8 crystal. The functional is GGA-PBE.

Cell lengths 19.1233, 7.0039, 5.5297 Å; angles 90.00, 92.89, 90.00 degrees
Closest atoms and distances in Å follow each position.
Space group C2/m (No. 12)
One atom of each set of equivalent atoms:
La 0.0000 0.0000 0.0000 x2  10 Ho 3.54-3.83
Sm 0.2153 0.5000 0.2492 x4  11 Ho 3.23-3.59
Ho 0.0463 0.5000 0.2389 x4  2 Ho 3.11-3.46, 1 Sm 3.23
Ho 0.1328 0.2674 0.7322 x8  4 Ho 3.26-3.53, 3 Sm 3.45-3.59, 1 La 3.54
Ho 0.1879 0.0000 0.2343 x4  4 Sm 3.32-3.54, 4 Ho 3.47-3.53

Computed properties:
E_form = 152 kJ/mol of formula units
Size of the total moment = 0.00 Bohr magnetons per cell
Total DFT energy (no corrections) = -4.492 eV/atom